An optimized crystal structure of ErSc3Ag4. Source: Alexandria, functional PBE-GGA.

Computed properties:
total moment	0.00	μB/atom
final energy	-4.66	eV per atom

Unit cell a=3.4802 b=3.4802 c=13.8763 alpha=90.00 beta=90.00 gamma=90.00
With the nearest neighbours (Å) after each atom.
Space group P4/mmm (No. 123)
Symmetry-distinct sites (fractional):
Er 0.0000 0.0000 0.0000 (multiplicity 1)  8 Ag 3.12, 4 Er 3.48
Sc 0.0000 0.0000 0.2566 (multiplicity 2)  8 Ag 2.96-2.98
Sc 0.0000 0.0000 0.5000 (multiplicity 1)  8 Ag 2.99
Ag 0.5000 0.5000 0.1379 (multiplicity 2)  4 Sc 2.96, 4 Er 3.12
Ag 0.5000 0.5000 0.3782 (multiplicity 2)  8 Sc 2.98-2.99, 1 Ag 3.34